Entry from Alexandria: crystalline RbNb3Ni at its relaxed geometry (GGA-PBE).

Energy above the most stable polymorph in this dataset = 0.000 eV per atom
M_tot = 1.92 μB per formula unit
Final energy = -5.9916 eV per atom

abc: 4.865 4.865 4.865
angles: 90.00 90.00 90.00
Fractional positions:
Rb1 0.000 0.000 0.000
Nb1 0.000 0.500 0.500
Nb2 0.500 0.000 0.500
Nb3 0.500 0.500 0.000
Ni1 0.500 0.500 0.500